NaCe4Sm3Se8: optimized geometry, PBE.

Properties
As for the energy relative to the elements, uncorrected: -1.775 eV per atom. Its crystal system is trigonal. The raw total energy is -5.9678 eV per atom. As for the density of states at the Fermi level: 1.680 states/eV/atom. Its space group is R-3m (166).

Cell lengths 8.379, 8.417, 8.379 Å; angles 119.85, 120.00, 90.00 degrees
Atoms (fractional coordinates):
Se (0.752, 0.255, 0.003)
Se (0.250, 0.255, 0.003)
Se (0.752, 0.255, 0.505)
Se (0.251, 0.253, 0.502)
Se (0.749, 0.747, 0.498)
Se (0.750, 0.745, 0.997)
Se (0.248, 0.745, 0.997)
Se (0.248, 0.745, 0.495)
Ce (0.500, 0.000, 0.000)
Ce (0.000, 0.000, 0.500)
Ce (0.000, 0.000, 0.000)
Ce (0.500, 0.000, 0.500)
Sm (0.500, 0.500, 0.500)
Sm (0.000, 0.500, 0.500)
Sm (0.500, 0.500, 0.000)
Na (0.000, 0.500, 0.000)